[1]
The following is a DFT calculation (PBE) of crystalline YInOs2 at its relaxed geometry.

It has space group R3m (No. 160, hexagonal axes), with a = 2.9964 Å, b = 2.9964 Å, c = 29.1228 Å, α = 90.00°, β = 90.00° and γ = 120.00°. The inequivalent atoms are Y at (0.0000, 0.0000, 0.0000), In at (0.0000, 0.0000, 0.2349), Os at (0.0000, 0.0000, 0.4883) and Os at (0.0000, 0.0000, 0.7538).

The formation energy from the elements is 0.51 eV/atom.

[2]
The following is a DFT calculation (PBE) of crystalline Y2ZnCu at its relaxed geometry.

It has space group C2/m (No. 12), with a = 8.138 Å, b = 3.826 Å, c = 6.617 Å, α = 90.00°, β = 106.07° and γ = 90.00°. The inequivalent atoms are Y at (0.243, 0.000, 0.238), Zn at (0.000, 0.000, 0.500) and Cu at (0.000, 0.500, 0.000).

The formation energy from the elements is -0.06 eV/atom.

[3]
The following is a DFT calculation (PBE) of crystalline PaGa3PdAu at its relaxed geometry.

It has space group Cmcm (No. 63), with a = 5.555 Å, b = 14.308 Å, c = 5.801 Å, α = 90.00°, β = 90.00° and γ = 90.00°. The inequivalent atoms are Pa at (0.000, 0.195, 0.250), Ga at (0.000, 0.378, 0.750), Ga at (0.223, 0.000, 0.000), Pd at (0.000, 0.389, 0.250) and Au at (0.000, 0.183, 0.750).

The formation energy from the elements is -0.26 eV/atom.

[4]
The following is a DFT calculation (PBE) of crystalline LiZrTl2Te4 at its relaxed geometry.

It has space group P2/m (No. 10), with a = 7.676 Å, b = 4.131 Å, c = 8.187 Å, α = 90.00°, β = 106.45° and γ = 90.00°. The inequivalent atoms are Li at (0.000, 0.000, 0.000), Zr at (0.500, 0.500, 0.000), Tl at (0.000, 0.500, 0.500), Tl at (0.500, 0.000, 0.500), Te at (0.250, 0.500, 0.208) and Te at (0.271, 0.000, 0.792).

For the total energy, the calculation gives -32.49 eV/f.u.

Summary of spin magnetization in μB/cell
1.37; 0.00; 1.43; 0.00
(order as listed above)